# 1
DFT (PBE) results for a relaxed structure of LaNdSbBr.

Lattice parameters (Å, degrees): 5.4515 5.4515 5.4515 60.00 60.00 60.00
Atoms (fractional coordinates):
La1 0.0000 0.0000 0.0000
Nd1 0.5000 0.5000 0.5000
Sb1 0.2500 0.2500 0.2500
Br1 0.7500 0.7500 0.7500

Calculated volume: 28.6 Å³ per atom
Total energy: -5.0510 eV per atom
Space group: F-43m, No. 216

# 2
DFT (PBE) results for a relaxed structure of LaNdSeBr.

Lattice parameters (Å, degrees): 17.6017 17.6017 17.6017 13.68 13.68 13.68
Atoms (fractional coordinates):
La1 0.0950 0.0950 0.0950
La2 0.9050 0.9050 0.9050
Nd1 0.3040 0.3040 0.3040
Nd2 0.6960 0.6960 0.6960
Se1 0.3954 0.3954 0.3954
Se2 0.6046 0.6046 0.6046
Br1 0.2020 0.2020 0.2020
Br2 0.7980 0.7980 0.7980

Calculated volume: 33.2 Å³ per atom
Total energy: -5.3260 eV per atom
Space group: R-3m, No. 166

# 3
DFT (PBE) results for a relaxed structure of LaNdSiBr.

Lattice parameters (Å, degrees): 5.2819 5.2819 5.2819 60.00 60.00 60.00
Atoms (fractional coordinates):
La1 0.0000 0.0000 0.0000
Nd1 0.5000 0.5000 0.5000
Si1 0.7500 0.7500 0.7500
Br1 0.2500 0.2500 0.2500

Calculated volume: 26.0 Å³ per atom
Total energy: -5.0732 eV per atom
Space group: F-43m, No. 216

# 4
DFT (PBE) results for a relaxed structure of LaNdSnBr.

Lattice parameters (Å, degrees): 5.4892 5.4892 5.4892 60.00 60.00 60.00
Atoms (fractional coordinates):
La1 0.0000 0.0000 0.0000
Nd1 0.5000 0.5000 0.5000
Sn1 0.2500 0.2500 0.2500
Br1 0.7500 0.7500 0.7500

Calculated volume: 29.2 Å³ per atom
Total energy: -4.7963 eV per atom
Space group: F-43m, No. 216

# 5
DFT (PBE) results for a relaxed structure of LaNdTe2Br.

Lattice parameters (Å, degrees): 4.5498 4.5498 15.3058 90.00 90.00 90.00
Atoms (fractional coordinates):
La1 0.2500 0.2500 0.0903
La2 0.7500 0.7500 0.9097
Nd1 0.2500 0.2500 0.6402
Nd2 0.7500 0.7500 0.3598
Te1 0.2500 0.2500 0.3015
Te2 0.2500 0.2500 0.8739
Te3 0.7500 0.7500 0.1261
Te4 0.7500 0.7500 0.6985
Br1 0.2500 0.7500 0.5000
Br2 0.7500 0.2500 0.5000

Calculated volume: 31.7 Å³ per atom
Total energy: -5.0724 eV per atom
Space group: P4/nmm, No. 129

# 6
DFT (PBE) results for a relaxed structure of LaNiBr.

Lattice parameters (Å, degrees): 4.1418 4.1418 5.6278 90.00 90.00 120.00
Atoms (fractional coordinates):
La1 0.0000 0.0000 0.0000
Ni1 0.6667 0.3333 0.2410
Br1 0.3333 0.6667 0.6195

Calculated volume: 27.9 Å³ per atom
Total energy: -4.6918 eV per atom
Space group: P3m1, No. 156

# 7
DFT (PBE) results for a relaxed structure of LaNiBr.

Lattice parameters (Å, degrees): 5.9074 5.9074 5.9074 143.69 143.69 52.30
Atoms (fractional coordinates):
La1 0.0000 0.0000 0.0000
Ni1 0.6221 0.6221 0.0000
Br1 0.3006 0.3006 0.0000

Calculated volume: 24.0 Å³ per atom
Total energy: -4.7403 eV per atom
Space group: I4mm, No. 107

# 8
DFT (PBE) results for a relaxed structure of La3NiBr.

Lattice parameters (Å, degrees): 9.0977 3.8764 9.2313 90.00 113.46 90.00
Atoms (fractional coordinates):
La1 0.0543 0.2500 0.2466
La2 0.2919 0.7500 0.6268
La3 0.3199 0.2500 0.9952
La4 0.6801 0.7500 0.0048
La5 0.7081 0.2500 0.3732
La6 0.9457 0.7500 0.7534
Ni1 0.0652 0.2500 0.6081
Ni2 0.9348 0.7500 0.3919
Br1 0.3752 0.7500 0.3099
Br2 0.6248 0.2500 0.6901

Calculated volume: 29.9 Å³ per atom
E above lowest polymorph: 0.000 eV/atom
Space group: P2_1/m, No. 11

# 9
DFT (PBE) results for a relaxed structure of La3Ni2Br.

Lattice parameters (Å, degrees): 7.6825 7.6825 9.9737 90.00 90.00 146.34
Atoms (fractional coordinates):
La1 0.1070 0.8930 0.7500
La2 0.3804 0.6196 0.5488
La3 0.3804 0.6196 0.9512
La4 0.6196 0.3804 0.0488
La5 0.6196 0.3804 0.4512
La6 0.8930 0.1070 0.2500
Ni1 0.0000 0.0000 0.0000
Ni2 0.0000 0.0000 0.5000
Ni3 0.4842 0.5158 0.2500
Ni4 0.5158 0.4842 0.7500
Br1 0.2244 0.7756 0.2500
Br2 0.7756 0.2244 0.7500

Calculated volume: 27.2 Å³ per atom
Total energy: -5.1343 eV per atom
Space group: Cmcm, No. 63

# 10
DFT (PBE) results for a relaxed structure of La8Ni4Br7.

Lattice parameters (Å, degrees): 15.0894 15.0894 8.8923 92.48 92.48 15.40
Atoms (fractional coordinates):
La1 0.0123 0.0123 0.3109
La2 0.2055 0.2055 0.7002
La3 0.3760 0.3760 0.5684
La4 0.4036 0.4036 0.1556
La5 0.5964 0.5964 0.8444
La6 0.6240 0.6240 0.4316
La7 0.7945 0.7945 0.2998
La8 0.9877 0.9877 0.6891
Ni1 0.0994 0.0994 0.6304
Ni2 0.4597 0.4597 0.4473
Ni3 0.5403 0.5403 0.5527
Ni4 0.9006 0.9006 0.3696
Br1 0.1036 0.1036 0.1420
Br2 0.2132 0.2132 0.3555
Br3 0.3035 0.3035 0.0449
Br4 0.5000 0.5000 0.0000
Br5 0.6965 0.6965 0.9551
Br6 0.7868 0.7868 0.6445
Br7 0.8964 0.8964 0.8580

Calculated volume: 28.3 Å³ per atom
Total energy: -5.0745 eV per atom
Space group: C2/m, No. 12

# 11
DFT (PBE) results for a relaxed structure of La4Ni2Br5.

Lattice parameters (Å, degrees): 10.5715 10.5715 10.5715 156.76 132.15 53.85
Atoms (fractional coordinates):
La1 0.1837 0.1837 0.0000
La2 0.2170 0.5000 0.7170
La3 0.7830 0.5000 0.2830
La4 0.8163 0.8163 0.0000
Ni1 0.0586 0.0586 0.0000
Ni2 0.9414 0.9414 0.0000
Br1 0.1001 0.3300 0.7701
Br2 0.4401 0.6700 0.7701
Br3 0.5000 0.0000 0.5000
Br4 0.5599 0.3300 0.2299
Br5 0.8999 0.6700 0.2299

Calculated volume: 31.3 Å³ per atom
Total energy: -4.8574 eV per atom
Space group: Immm, No. 71

# 12
DFT (PBE) results for a relaxed structure of LaNi3Br.

Lattice parameters (Å, degrees): 4.5757 4.5757 4.5757 90.00 90.00 90.00
Atoms (fractional coordinates):
La1 0.0000 0.0000 0.0000
Ni1 0.0000 0.5000 0.5000
Ni2 0.5000 0.0000 0.5000
Ni3 0.5000 0.5000 0.0000
Br1 0.5000 0.5000 0.5000

Calculated volume: 19.2 Å³ per atom
E above lowest polymorph: 0.000 eV/atom
Space group: Pm-3m, No. 221

What is the calculated volume in the eleventh record? 31.3 Å³ per atom

calculated volume of number 7 (LaNiBr)? 24.0 Å³ per atom

The lowest calculated volume belongs to which entry? LaNi3Br